i) A geometry-optimized In2SiB structure, computed with GGA-PBE.

- Crystal system: cubic

abc: 6.731 6.731 6.731
angles: 90.00 90.00 90.00
Space group Fm-3m (No. 225)
Inequivalent atoms, fractional coordinates:
In1 0.250 0.250 0.250 [8 per cell]
Si1 0.000 0.000 0.000 [4 per cell]
B1 0.000 0.000 0.500 [4 per cell]

ii) A geometry-optimized In2SiB structure, computed with GGA-PBE.

- Crystal system: tetragonal

abc: 5.021 5.021 14.014
angles: 90.00 90.00 90.00
Space group I-42d (No. 122)
Inequivalent atoms, fractional coordinates:
In1 0.193 0.250 0.125 [8 per cell]
Si1 0.000 0.000 0.500 [4 per cell]
B1 0.000 0.000 0.000 [4 per cell]

Which structure loses on stability? i) does.

i) A geometry-optimized InSn3B structure, computed with GGA-PBE.

- Crystal system: cubic

abc: 5.624 5.624 5.624
angles: 90.00 90.00 90.00
Space group Pm-3m (No. 221)
Inequivalent atoms, fractional coordinates:
In1 0.000 0.000 0.000 [1 per cell]
Sn1 0.000 0.000 0.500 [3 per cell]
B1 0.500 0.500 0.500 [1 per cell]

ii) A geometry-optimized InSn3B structure, computed with GGA-PBE.

- Crystal system: cubic

abc: 4.933 4.933 4.933
angles: 90.00 90.00 90.00
Space group Pm-3m (No. 221)
Inequivalent atoms, fractional coordinates:
In1 0.000 0.000 0.000 [1 per cell]
Sn1 0.000 0.500 0.500 [3 per cell]
B1 0.500 0.500 0.500 [1 per cell]

Which structure loses on stability? i) does.

i) A geometry-optimized InSnB2 structure, computed with GGA-PBE.

- Crystal system: cubic

abc: 6.390 6.390 6.390
angles: 90.00 90.00 90.00
Space group Fm-3m (No. 225)
Inequivalent atoms, fractional coordinates:
In1 0.000 0.000 0.000 [4 per cell]
Sn1 0.000 0.000 0.500 [4 per cell]
B1 0.250 0.250 0.250 [8 per cell]

ii) A geometry-optimized InSnB2 structure, computed with GGA-PBE.

- Crystal system: tetragonal

abc: 5.462 5.462 10.315
angles: 90.00 90.00 90.00
Space group I-42d (No. 122)
Inequivalent atoms, fractional coordinates:
In1 0.000 0.000 0.000 [4 per cell]
Sn1 0.000 0.000 0.500 [4 per cell]
B1 0.239 0.250 0.625 [8 per cell]

Which structure loses on stability? i) does.

i) A geometry-optimized InSn2B structure, computed with GGA-PBE.

- Crystal system: cubic

abc: 7.118 7.118 7.118
angles: 90.00 90.00 90.00
Space group Fm-3m (No. 225)
Inequivalent atoms, fractional coordinates:
In1 0.000 0.000 0.000 [4 per cell]
Sn1 0.250 0.250 0.250 [8 per cell]
B1 0.000 0.000 0.500 [4 per cell]

ii) A geometry-optimized InSn2B structure, computed with GGA-PBE.

- Crystal system: tetragonal

abc: 6.208 6.208 10.794
angles: 90.00 90.00 90.00
Space group I-42d (No. 122)
Inequivalent atoms, fractional coordinates:
In1 0.000 0.000 0.000 [4 per cell]
Sn1 0.164 0.250 0.625 [8 per cell]
B1 0.000 0.000 0.500 [4 per cell]

Which structure loses on stability? i) does.

i) A geometry-optimized InTc3B structure, computed with GGA-PBE.

- Crystal system: cubic

abc: 4.187 4.187 4.187
angles: 90.00 90.00 90.00
Space group Pm-3m (No. 221)
Inequivalent atoms, fractional coordinates:
In1 0.000 0.000 0.000 [1 per cell]
Tc1 0.000 0.500 0.500 [3 per cell]
B1 0.500 0.500 0.500 [1 per cell]

ii) A geometry-optimized InTc3B structure, computed with GGA-PBE.

- Crystal system: cubic

abc: 4.967 4.967 4.967
angles: 90.00 90.00 90.00
Space group Pm-3m (No. 221)
Inequivalent atoms, fractional coordinates:
In1 0.000 0.000 0.000 [1 per cell]
Tc1 0.000 0.000 0.500 [3 per cell]
B1 0.500 0.500 0.500 [1 per cell]

Which structure loses on stability? ii) does.

i) A geometry-optimized InB2Te structure, computed with GGA-PBE.

- Crystal system: cubic

abc: 6.417 6.417 6.417
angles: 90.00 90.00 90.00
Space group Fm-3m (No. 225)
Inequivalent atoms, fractional coordinates:
In1 0.000 0.000 0.000 [4 per cell]
B1 0.250 0.250 0.250 [8 per cell]
Te1 0.000 0.000 0.500 [4 per cell]

ii) A geometry-optimized InB2Te structure, computed with GGA-PBE.

- Crystal system: tetragonal

abc: 5.380 5.380 10.462
angles: 90.00 90.00 90.00
Space group I-42d (No. 122)
Inequivalent atoms, fractional coordinates:
In1 0.000 0.000 0.000 [4 per cell]
B1 0.240 0.250 0.625 [8 per cell]
Te1 0.000 0.000 0.500 [4 per cell]

Which structure loses on stability? i) does.

i) A geometry-optimized Ti2InB structure, computed with GGA-PBE.

- Crystal system: tetragonal

abc: 6.802 6.802 5.667
angles: 90.00 90.00 90.00
Space group I-42d (No. 122)
Inequivalent atoms, fractional coordinates:
Ti1 0.185 0.250 0.125 [8 per cell]
In1 0.000 0.000 0.500 [4 per cell]
B1 0.000 0.000 0.000 [4 per cell]

ii) A geometry-optimized Ti2InB structure, computed with GGA-PBE.

- Crystal system: cubic

abc: 6.255 6.255 6.255
angles: 90.00 90.00 90.00
Space group Fm-3m (No. 225)
Inequivalent atoms, fractional coordinates:
Ti1 0.250 0.250 0.250 [8 per cell]
In1 0.000 0.000 0.000 [4 per cell]
B1 0.000 0.000 0.500 [4 per cell]

iii) A geometry-optimized Ti2InB structure, computed with GGA-PBE.

- Crystal system: trigonal

abc: 3.2273 3.2273 21.7966
angles: 90.00 90.00 120.00
Space group R-3m (No. 166, hexagonal axes)
Inequivalent atoms, fractional coordinates:
Ti1 0.0000 0.0000 0.2208 [6 per cell]
In1 0.0000 0.0000 0.0000 [3 per cell]
B1 0.0000 0.0000 0.5000 [3 per cell]

iv) A geometry-optimized Ti2InB structure, computed with GGA-PBE.

- Crystal system: tetragonal

abc: 2.794 2.794 7.624
angles: 90.00 90.00 90.00
Space group P4/mmm (No. 123)
Inequivalent atoms, fractional coordinates:
Ti1 0.000 0.000 0.191 [2 per cell]
In1 0.500 0.500 0.500 [1 per cell]
B1 0.500 0.500 0.000 [1 per cell]

Which structure loses on stability? ii) does.

i) A geometry-optimized TiIn3B structure, computed with GGA-PBE.

- Crystal system: cubic

abc: 5.356 5.356 5.356
angles: 90.00 90.00 90.00
Space group Pm-3m (No. 221)
Inequivalent atoms, fractional coordinates:
Ti1 0.000 0.000 0.000 [1 per cell]
In1 0.000 0.000 0.500 [3 per cell]
B1 0.500 0.500 0.500 [1 per cell]

ii) A geometry-optimized TiIn3B structure, computed with GGA-PBE.

- Crystal system: cubic

abc: 4.747 4.747 4.747
angles: 90.00 90.00 90.00
Space group Pm-3m (No. 221)
Inequivalent atoms, fractional coordinates:
Ti1 0.000 0.000 0.000 [1 per cell]
In1 0.000 0.500 0.500 [3 per cell]
B1 0.500 0.500 0.500 [1 per cell]

Which structure loses on stability? i) does.

i) A geometry-optimized TiInB3 structure, computed with GGA-PBE.

- Crystal system: cubic

abc: 4.210 4.210 4.210
angles: 90.00 90.00 90.00
Space group Pm-3m (No. 221)
Inequivalent atoms, fractional coordinates:
Ti1 0.000 0.000 0.000 [1 per cell]
In1 0.500 0.500 0.500 [1 per cell]
B1 0.000 0.000 0.500 [3 per cell]

ii) A geometry-optimized TiInB3 structure, computed with GGA-PBE.

- Crystal system: cubic

abc: 4.328 4.328 4.328
angles: 90.00 90.00 90.00
Space group Pm-3m (No. 221)
Inequivalent atoms, fractional coordinates:
Ti1 0.000 0.000 0.000 [1 per cell]
In1 0.500 0.500 0.500 [1 per cell]
B1 0.000 0.500 0.500 [3 per cell]

Which structure loses on stability? ii) does.

i) A geometry-optimized TlInB3 structure, computed with GGA-PBE.

- Crystal system: cubic

abc: 4.644 4.644 4.644
angles: 90.00 90.00 90.00
Space group Pm-3m (No. 221)
Inequivalent atoms, fractional coordinates:
Tl1 0.000 0.000 0.000 [1 per cell]
In1 0.500 0.500 0.500 [1 per cell]
B1 0.000 0.000 0.500 [3 per cell]

ii) A geometry-optimized TlInB3 structure, computed with GGA-PBE.

- Crystal system: cubic

abc: 4.617 4.617 4.617
angles: 90.00 90.00 90.00
Space group Pm-3m (No. 221)
Inequivalent atoms, fractional coordinates:
Tl1 0.000 0.000 0.000 [1 per cell]
In1 0.500 0.500 0.500 [1 per cell]
B1 0.000 0.500 0.500 [3 per cell]

Which structure loses on stability? i) does.

i) A geometry-optimized V2InB structure, computed with GGA-PBE.

- Crystal system: trigonal

abc: 3.1345 3.1345 22.9792
angles: 90.00 90.00 120.00
Space group R-3m (No. 166, hexagonal axes)
Inequivalent atoms, fractional coordinates:
V1 0.0000 0.0000 0.1222 [6 per cell]
In1 0.0000 0.0000 0.0000 [3 per cell]
B1 0.0000 0.0000 0.5000 [3 per cell]

ii) A geometry-optimized V2InB structure, computed with GGA-PBE.

- Crystal system: cubic

abc: 6.014 6.014 6.014
angles: 90.00 90.00 90.00
Space group Fm-3m (No. 225)
Inequivalent atoms, fractional coordinates:
V1 0.250 0.250 0.250 [8 per cell]
In1 0.000 0.000 0.000 [4 per cell]
B1 0.000 0.000 0.500 [4 per cell]

iii) A geometry-optimized V2InB structure, computed with GGA-PBE.

- Crystal system: tetragonal

abc: 6.593 6.593 5.211
angles: 90.00 90.00 90.00
Space group I-42d (No. 122)
Inequivalent atoms, fractional coordinates:
V1 0.192 0.250 0.125 [8 per cell]
In1 0.000 0.000 0.500 [4 per cell]
B1 0.000 0.000 0.000 [4 per cell]

Which structure loses on stability? ii) does.

i) A geometry-optimized InB3W structure, computed with GGA-PBE.

- Crystal system: cubic

abc: 4.279 4.279 4.279
angles: 90.00 90.00 90.00
Space group Pm-3m (No. 221)
Inequivalent atoms, fractional coordinates:
In1 0.000 0.000 0.000 [1 per cell]
B1 0.000 0.500 0.500 [3 per cell]
W1 0.500 0.500 0.500 [1 per cell]

ii) A geometry-optimized InB3W structure, computed with GGA-PBE.

- Crystal system: cubic

abc: 4.227 4.227 4.227
angles: 90.00 90.00 90.00
Space group Pm-3m (No. 221)
Inequivalent atoms, fractional coordinates:
In1 0.000 0.000 0.000 [1 per cell]
B1 0.000 0.000 0.500 [3 per cell]
W1 0.500 0.500 0.500 [1 per cell]

Which structure loses on stability? ii) does.